(1)
First-principles (PBE-GGA) data for an optimized crystal structure of AcDy2Cu2Ge2, as listed in Alexandria.

Summary:
The calculated density comes out at 8.5 g cm⁻³. As for the magnetic moment: 0.00 μB per formula unit. For the energy, the calculation gives -34.126 eV/f.u.

Lattice parameters (Å, degrees): 4.3732 4.3732 29.0762 90.00 90.00 120.00
Space group R-3m (No. 166, hexagonal axes)
Inequivalent atoms, fractional coordinates:
Ac (0.0000, 0.0000, 0.0000) (multiplicity 3)
Dy (0.0000, 0.0000, 0.1295) (multiplicity 6)
Cu (0.0000, 0.0000, 0.4112) (multiplicity 6)
Ge (0.0000, 0.0000, 0.2545) (multiplicity 6)

***

(2)
First-principles (PBE-GGA) data for an optimized crystal structure of AcDyCuGe, as listed in Alexandria.

Summary:
The calculated density comes out at 8.6 g cm⁻³. As for the magnetic moment: 0.00 μB per formula unit. For the energy, the calculation gives -18.891 eV/f.u.

Lattice parameters (Å, degrees): 7.4016 7.4016 7.4016 90.00 90.00 90.00
Space group F-43m (No. 216)
Inequivalent atoms, fractional coordinates:
Ac (0.0000, 0.0000, 0.0000) (multiplicity 4)
Dy (0.0000, 0.0000, 0.5000) (multiplicity 4)
Cu (0.2500, 0.2500, 0.2500) (multiplicity 4)
Ge (0.2500, 0.2500, 0.7500) (multiplicity 4)

***

(3)
First-principles (PBE-GGA) data for an optimized crystal structure of AcDyCu2Ge2, as listed in Alexandria.

Summary:
The calculated density comes out at 8.5 g cm⁻³. As for the magnetic moment: 0.00 μB per formula unit. For the energy, the calculation gives -30.040 eV/f.u.

Lattice parameters (Å, degrees): 4.3369 4.3369 7.9152 90.00 90.00 120.00
Space group P-3m1 (No. 164)
Inequivalent atoms, fractional coordinates:
Ac (0.0000, 0.0000, 0.0000) (multiplicity 1)
Dy (0.0000, 0.0000, 0.5000) (multiplicity 1)
Cu (0.3333, 0.6667, 0.7091) (multiplicity 2)
Ge (0.3333, 0.6667, 0.2759) (multiplicity 2)

***

(4)
First-principles (PBE-GGA) data for an optimized crystal structure of Ac2DyCu3Ge4, as listed in Alexandria.

Summary:
The calculated density comes out at 8.4 g cm⁻³. As for the magnetic moment: 0.00 μB per formula unit. For the energy, the calculation gives -48.952 eV/f.u.

Lattice parameters (Å, degrees): 4.4467 4.4467 10.9745 90.00 90.00 90.00
Space group P-4m2 (No. 115)
Inequivalent atoms, fractional coordinates:
Ac (0.0000, 0.5000, 0.2278) (multiplicity 2)
Dy (0.0000, 0.0000, 0.5000) (multiplicity 1)
Cu (0.0000, 0.5000, 0.8876) (multiplicity 2)
Cu (0.5000, 0.5000, 0.5000) (multiplicity 1)
Ge (0.0000, 0.0000, 0.0000) (multiplicity 1)
Ge (0.0000, 0.5000, 0.6576) (multiplicity 2)
Ge (0.5000, 0.5000, 0.0000) (multiplicity 1)

***

(5)
First-principles (PBE-GGA) data for an optimized crystal structure of AcDyInCu, as listed in Alexandria.

Summary:
The calculated density comes out at 8.4 g cm⁻³. As for the magnetic moment: 0.00 μB per formula unit. For the energy, the calculation gives -16.355 eV/f.u.

Lattice parameters (Å, degrees): 7.6676 7.6676 7.6676 90.00 90.00 90.00
Space group F-43m (No. 216)
Inequivalent atoms, fractional coordinates:
Ac (0.0000, 0.0000, 0.0000) (multiplicity 4)
Dy (0.0000, 0.0000, 0.5000) (multiplicity 4)
In (0.2500, 0.2500, 0.2500) (multiplicity 4)
Cu (0.2500, 0.2500, 0.7500) (multiplicity 4)

***

(6)
First-principles (PBE-GGA) data for an optimized crystal structure of AcDyMgCu, as listed in Alexandria.

Summary:
The calculated density comes out at 7.2 g cm⁻³. As for the magnetic moment: 0.00 μB per formula unit. For the energy, the calculation gives -14.368 eV/f.u.

Lattice parameters (Å, degrees): 7.6165 7.6165 7.6165 90.00 90.00 90.00
Space group F-43m (No. 216)
Inequivalent atoms, fractional coordinates:
Ac (0.0000, 0.0000, 0.0000) (multiplicity 4)
Dy (0.0000, 0.0000, 0.5000) (multiplicity 4)
Mg (0.2500, 0.2500, 0.7500) (multiplicity 4)
Cu (0.2500, 0.2500, 0.2500) (multiplicity 4)

***

(7)
First-principles (PBE-GGA) data for an optimized crystal structure of AcDyCuNi, as listed in Alexandria.

Summary:
The calculated density comes out at 9.2 g cm⁻³. As for the magnetic moment: 0.00 μB per formula unit. For the energy, the calculation gives -19.197 eV/f.u.

Lattice parameters (Å, degrees): 7.1858 7.1858 7.1858 90.00 90.00 90.00
Space group F-43m (No. 216)
Inequivalent atoms, fractional coordinates:
Ac (0.0000, 0.0000, 0.0000) (multiplicity 4)
Dy (0.0000, 0.0000, 0.5000) (multiplicity 4)
Cu (0.2500, 0.2500, 0.2500) (multiplicity 4)
Ni (0.2500, 0.2500, 0.7500) (multiplicity 4)

***

(8)
First-principles (PBE-GGA) data for an optimized crystal structure of Ac2DyCu2O6, as listed in Alexandria.

Summary:
For the formation energy without anion corrections, the calculation gives -24.52 eV per formula unit. The calculated density comes out at 7.9 g cm⁻³. As for the magnetic moment: 1.07 μB per formula unit.

Lattice parameters (Å, degrees): 6.0080 6.0080 16.8872 90.00 90.00 120.00
Space group R-3m (No. 166, hexagonal axes)
Inequivalent atoms, fractional coordinates:
Ac (0.0000, 0.0000, 0.2080) (multiplicity 6)
Dy (0.0000, 0.0000, 0.0000) (multiplicity 3)
Cu (0.0000, 0.0000, 0.4218) (multiplicity 6)
O (0.0296, 0.5148, 0.7616) (multiplicity 18)

***

(9)
First-principles (PBE-GGA) data for an optimized crystal structure of Ac2DyCuO6, as listed in Alexandria.

Summary:
For the formation energy without anion corrections, the calculation gives -25.35 eV per formula unit. The calculated density comes out at 8.9 g cm⁻³. As for the magnetic moment: 1.92 μB per formula unit.

Lattice parameters (Å, degrees): 5.7548 8.2874 6.0806 90.00 90.00 90.00
Space group Pmmn (No. 59, origin choice 2)
Inequivalent atoms, fractional coordinates:
Ac (0.2500, 0.0203, 0.2107) (multiplicity 4)
Dy (0.2500, 0.2500, 0.7173) (multiplicity 2)
Cu (0.2500, 0.7500, 0.7705) (multiplicity 2)
O (0.0038, 0.2500, 0.4482) (multiplicity 4)
O (0.0046, 0.7500, 0.0065) (multiplicity 4)
O (0.2500, 0.5091, 0.7922) (multiplicity 4)

***

(10)
First-principles (PBE-GGA) data for an optimized crystal structure of AcDyCuOs, as listed in Alexandria.

Summary:
The calculated density comes out at 11.6 g cm⁻³. As for the magnetic moment: 0.00 μB per formula unit. For the energy, the calculation gives -24.165 eV/f.u.

Lattice parameters (Å, degrees): 7.1602 7.1602 7.1602 90.00 90.00 90.00
Space group F-43m (No. 216)
Inequivalent atoms, fractional coordinates:
Ac (0.0000, 0.0000, 0.0000) (multiplicity 4)
Dy (0.0000, 0.0000, 0.5000) (multiplicity 4)
Cu (0.2500, 0.2500, 0.7500) (multiplicity 4)
Os (0.2500, 0.2500, 0.2500) (multiplicity 4)

***

(11)
First-principles (PBE-GGA) data for an optimized crystal structure of AcDyCuPb, as listed in Alexandria.

Summary:
The calculated density comes out at 9.5 g cm⁻³. As for the magnetic moment: 0.00 μB per formula unit. For the energy, the calculation gives -17.414 eV/f.u.

Lattice parameters (Å, degrees): 7.7263 7.7263 7.7263 90.00 90.00 90.00
Space group F-43m (No. 216)
Inequivalent atoms, fractional coordinates:
Ac (0.0000, 0.0000, 0.0000) (multiplicity 4)
Dy (0.0000, 0.0000, 0.5000) (multiplicity 4)
Cu (0.2500, 0.2500, 0.7500) (multiplicity 4)
Pb (0.2500, 0.2500, 0.2500) (multiplicity 4)

***

(12)
First-principles (PBE-GGA) data for an optimized crystal structure of Ac2DyCuPd6, as listed in Alexandria.

Summary:
The calculated density comes out at 8.8 g cm⁻³. As for the magnetic moment: 0.00 μB per formula unit. For the energy, the calculation gives -53.541 eV/f.u.

Lattice parameters (Å, degrees): 5.8332 5.8332 25.2637 90.00 90.00 120.00
Space group R-3m (No. 166, hexagonal axes)
Inequivalent atoms, fractional coordinates:
Ac (0.0000, 0.0000, 0.2095) (multiplicity 6)
Dy (0.0000, 0.0000, 0.0000) (multiplicity 3)
Cu (0.0000, 0.0000, 0.5000) (multiplicity 3)
Pd (0.0029, 0.5015, 0.7576) (multiplicity 18)